Record 1
VASP calculation (PBE) on crystalline SrNi2Cl at its relaxed geometry.

Calculated values
Energy above the lowest structure with this stoichiometry   447.8 meV per atom
Formation energy from raw total energies   0.0813 eV per atom
Electronic total energy   -3.692 eV per atom

Cell: 5.6790 5.6790 5.6790 Å, 44.49 44.49 44.49°
Fractional positions:
Cl  0.7500  0.7500  0.7500
Ni  0.0644  0.0644  0.0644
Ni  0.4356  0.4356  0.4356
Sr  0.2500  0.2500  0.2500

=====

Record 2
VASP calculation (PBE) on crystalline La6HgGe2I3 at its relaxed geometry.

Calculated values
Formation energy from raw total energies   -0.9608 eV per atom
Electronic total energy   -4.607 eV per atom

Cell: 7.8676 7.8676 7.9727 Å, 99.45 99.45 119.99°
Fractional positions:
La  0.9285  0.5835  0.7841
La  0.7264  0.7264  0.2139
La  0.0715  0.4165  0.2159
La  0.5835  0.9285  0.7841
La  0.2736  0.2736  0.7861
La  0.4165  0.0715  0.2159
Hg  0.0000  0.0000  0.0000
Ge  0.3334  0.6666  0.0000
Ge  0.6666  0.3334  0.0000
I  0.1643  0.8357  0.5000
I  0.8357  0.1643  0.5000
I  0.5000  0.5000  0.5000

=====

Record 3
VASP calculation (PBE) on crystalline Ca4AcCu2 at its relaxed geometry.

Calculated values
Electronic total energy   -2.908 eV per atom
E_form   -7 meV per atom

Cell: 6.6317 8.6907 8.3344 Å, 112.53 90.00 90.00°
Fractional positions:
Ca  0.5004  0.4158  0.7657
Ca  0.2500  0.2714  0.3473
Ca  0.7500  0.7286  0.6527
Ca  0.9996  0.4158  0.7657
Ca  0.7500  0.0216  0.3921
Ca  0.0004  0.5842  0.2343
Ca  0.4996  0.5842  0.2343
Ca  0.2500  0.9784  0.6079
Ac  0.2500  0.8518  0.9925
Ac  0.7500  0.1482  0.0075
Cu  0.2500  0.2507  0.9820
Cu  0.7500  0.7493  0.0180
Cu  0.7500  0.3729  0.4047
Cu  0.2500  0.6271  0.5953

=====

Record 4
VASP calculation (PBE) on crystalline Tb6TlTe5 at its relaxed geometry.

Calculated values
Formation energy from raw total energies   -1.1820 eV per atom
Electronic total energy   -5.003 eV per atom

Cell: 7.5994 7.6164 7.5945 Å, 59.90 80.45 70.68°
Fractional positions:
Tl  0.0000  0.0000  0.0000
Te  0.5000  0.1707  0.6587
Te  0.0000  0.3344  0.3312
Te  0.5000  0.5000  0.0000
Te  0.0000  0.6656  0.6688
Te  0.5000  0.8293  0.3413
Tb  0.7565  0.0803  0.3253
Tb  0.2435  0.5944  0.3253
Tb  0.2468  0.2416  0.0000
Tb  0.7532  0.7584  0.0000
Tb  0.7565  0.4056  0.6747
Tb  0.2435  0.9197  0.6747